Record 1
Crystalline Sm4PuO10 at its relaxed geometry, computed with GGA-PBE.

Cell and atoms, written as POSCAR:
```
Sm4PuO10
1.0
5.004 0.000 2.260
2.502 6.069 1.130
0.004 0.000 6.661
Sm Pu O
4 1 10
Direct
0.403 0.792 0.402
0.805 0.598 0.792
0.195 0.402 0.208
0.597 0.208 0.598
0.000 0.000 0.000
0.250 0.500 0.500
0.675 0.278 0.914
0.046 0.086 0.278
0.411 0.914 0.722
0.867 0.722 0.086
0.325 0.722 0.086
0.750 0.500 0.500
0.133 0.278 0.914
0.589 0.086 0.278
0.954 0.914 0.722
```

## Properties
- electronic total energy (eV per formula unit) = -127.10
- magnetization (μB/cell) = 0.09
- energy relative to the elements, uncorrected (eV per atom) = -2.95
- theoretical density (g/cm3) = 8.3

Record 2
Crystalline Sm2PuO5 at its relaxed geometry, computed with GGA-PBE.

Cell and atoms, written as POSCAR:
```
Sm2PuO5
1.0
3.458 0.000 0.000
0.000 6.301 0.000
0.000 0.000 9.985
Sm Pu O
4 2 10
Direct
0.500 0.521 0.170
0.500 0.479 0.830
0.500 0.979 0.670
0.500 0.021 0.330
0.000 0.500 0.500
0.000 0.000 0.000
0.000 0.000 0.500
0.000 0.500 0.000
0.000 0.824 0.199
0.000 0.176 0.801
0.000 0.676 0.699
0.000 0.324 0.301
0.500 0.657 0.403
0.500 0.343 0.597
0.500 0.843 0.903
0.500 0.157 0.097
```

## Properties
- electronic total energy (eV per formula unit) = -74.57
- magnetization (μB/cell) = 8.00
- energy relative to the elements, uncorrected (eV per atom) = -3.25
- theoretical density (g/cm3) = 9.5

Record 3
Crystalline SmPuO2 at its relaxed geometry, computed with GGA-PBE.

Cell and atoms, written as POSCAR:
```
SmPuO2
1.0
3.488 0.000 0.000
1.744 3.021 0.000
1.744 1.007 5.769
O Sm Pu
2 1 1
Direct
0.250 0.250 0.250
0.750 0.750 0.750
0.000 0.000 0.000
0.500 0.500 0.500
```

## Properties
- electronic total energy (eV per formula unit) = -39.46
- magnetization (μB/cell) = 5.39
- energy relative to the elements, uncorrected (eV per atom) = -2.62
- theoretical density (g/cm3) = 11.6

Record 4
Crystalline SmPuO6 at its relaxed geometry, computed with GGA-PBE.

Cell and atoms, written as POSCAR:
```
SmPuO6
1.0
-3.450 -2.069 3.975
0.407 -0.752 5.465
-1.396 4.650 2.411
Sm Pu O
1 1 6
Direct
0.000 0.000 0.000
0.500 0.000 0.500
0.827 0.726 0.277
0.473 0.365 0.221
0.527 0.635 0.779
0.173 0.274 0.723
0.200 0.053 0.313
0.800 0.947 0.687
```

## Properties
- electronic total energy (eV per formula unit) = -65.68
- magnetization (μB/cell) = 0.43
- energy relative to the elements, uncorrected (eV per atom) = -2.11
- theoretical density (g/cm3) = 7.1